Record 1
VASP calculation (PBE) on a relaxed structure of BaRu2Au.

The value obtained for the calculated formation energy is 2.07 eV per formula unit. The density comes out at 8.2 g/cm3. The calculation puts the size of the total moment at 3.54 μB/cell.

The structure belongs to space group I4_1/amd (No. 141, origin choice 2); the cell edges are 4.720, 4.720 and 19.435 Å and the angles 90.00°, 90.00° and 90.00°. Symmetry generates all atoms from Ba at (0.000, 0.250, 0.375), Ru at (0.000, 0.000, 0.000) and Au at (0.000, 0.250, 0.875).



Record 2
VASP calculation (PBE) on a relaxed structure of Hf3InCo.

The value obtained for the calculated formation energy is 0.11 eV per formula unit. The density comes out at 10.7 g/cm3. The calculation puts the size of the total moment at 0.00 μB/cell.

The structure belongs to space group Pm-3m (No. 221); the cell edges are 4.789, 4.789 and 4.789 Å and the angles 90.00°, 90.00° and 90.00°. Symmetry generates all atoms from Hf at (0.000, 0.000, 0.500), In at (0.500, 0.500, 0.500) and Co at (0.000, 0.000, 0.000).



Record 3
VASP calculation (PBE) on a relaxed structure of CaAg2Sn.

The value obtained for the calculated formation energy is -0.30 eV per formula unit. The density comes out at 5.7 g/cm3. The calculation puts the size of the total moment at 0.00 μB/cell.

The structure belongs to space group I-42d (No. 122); the cell edges are 4.760, 4.760 and 19.170 Å and the angles 90.00°, 90.00° and 90.00°. Symmetry generates all atoms from Ca at (0.000, 0.000, 0.000), Ag at (0.163, 0.250, 0.625) and Sn at (0.000, 0.000, 0.500).